## KNaSr2F (GGA-PBE)

Data for KNaSr2F after structural relaxation.

extended XYZ file:
```
5
Lattice="5.3954 0.0000 0.0000 0.0000 5.3954 0.0000 0.0000 0.0000 6.6694" Properties=species:S:1:pos:R:3 pbc="T T T"
K 0.0000 0.0000 0.0000
Na 2.6977 2.6977 0.0000
Sr 0.0000 2.6977 3.3347
Sr 2.6977 0.0000 3.3347
F 0.0000 0.0000 3.3347
```

Calculated values
total moment: 0.00 μB/f.u.
ΔE_f (raw): -0.979 eV/atom